Arrangement i

Compound: BaNiMo2
Source: the Alexandria database
Functional: PBE
Structure: relaxed

Computed properties:
symmetry = Cm (8)
volume = 23.47 A^3/atom
total magnetic moment = 0.00 μB/cell
density of states at the Fermi level = 0.99 states/eV per atom

Cell: 4.7152 4.7152 6.5902 Å, 106.06 106.06 42.12°
Atoms (fractional coordinates):
1 Ba 0.0000 0.0000 0.0000
2 Ni 0.2373 0.2373 0.6408
3 Mo 0.5152 0.5152 0.5229
4 Mo 0.8101 0.8101 0.3995

=====

Arrangement ii

Compound: BaNiMo2
Source: the Alexandria database
Functional: PBE
Structure: relaxed

Computed properties:
symmetry = Cmmm (65)
volume = 19.77 A^3/atom
total magnetic moment = 0.00 μB/cell
density of states at the Fermi level = 1.30 states/eV per atom

Cell: 5.9101 5.9101 2.8208 Å, 90.00 90.00 126.64°
Atoms (fractional coordinates):
1 Ba 0.0000 0.0000 0.0000
2 Ni 0.5000 0.5000 0.0000
3 Mo 0.0000 0.5000 0.5000
4 Mo 0.5000 0.0000 0.5000

=====

Arrangement iii

Compound: BaNiMo2
Source: the Alexandria database
Functional: PBE
Structure: relaxed

Computed properties:
symmetry = P4/mmm (123)
volume = 20.24 A^3/atom
total magnetic moment = 0.23 μB/cell
density of states at the Fermi level = 1.15 states/eV per atom

Cell: 3.8443 3.8443 5.4776 Å, 90.00 90.00 90.00°
Atoms (fractional coordinates):
1 Ba 0.0000 0.0000 0.0000
2 Ni 0.5000 0.5000 0.0000
3 Mo 0.0000 0.5000 0.5000
4 Mo 0.5000 0.0000 0.5000

=====

Arrangement iv

Compound: BaNiMo2
Source: the Alexandria database
Functional: PBE
Structure: relaxed

Computed properties:
symmetry = Imm2 (44)
volume = 22.01 A^3/atom
total magnetic moment = 0.00 μB/cell
density of states at the Fermi level = 0.61 states/eV per atom

Cell: 5.7241 5.7241 5.7241 Å, 146.77 119.56 70.74°
Atoms (fractional coordinates):
1 Ba 0.0000 0.0000 0.0000
2 Ni 0.7084 0.2084 0.5000
3 Mo 0.3057 0.8057 0.5000
4 Mo 0.4916 0.4916 0.0000

=====

The structure shown above that is most stable: arrangement i.